# AlFe2W | the Alexandria database | PBE | relaxed
data_AlFe2W
_symmetry_space_group_name_H-M 'P 1 m 1'
_symmetry_Int_Tables_number 6
_symmetry_space_group_name_Hall 'P -2y'
_cell_length_a 2.623
_cell_length_b 4.172
_cell_length_c 4.935
_cell_angle_alpha 90.00
_cell_angle_beta 101.94
_cell_angle_gamma 90.00
loop_
_atom_site_label
_atom_site_type_symbol
_atom_site_fract_x
_atom_site_fract_y
_atom_site_fract_z
Al1 Al 0.000 0.000 0.000
Fe1 Fe 0.582 0.000 0.474
Fe2 Fe 0.731 0.500 0.211
W1 W 0.314 0.500 0.708
# calculated total energy = -8.4257 eV per atom
# energy of formation from the pure elements = -0.020 eV per atom


# ErTm3Os2 | the Alexandria database | PBE | relaxed
data_ErTm3Os2
_symmetry_space_group_name_H-M 'I b a m'
_symmetry_Int_Tables_number 72
_symmetry_space_group_name_Hall '-I 2 2c'
_cell_length_a 6.669
_cell_length_b 13.406
_cell_length_c 6.913
_cell_angle_alpha 90.00
_cell_angle_beta 90.00
_cell_angle_gamma 90.00
loop_
_atom_site_label
_atom_site_type_symbol
_atom_site_fract_x
_atom_site_fract_y
_atom_site_fract_z
Er1 Er 0.000 0.000 0.000
Tm1 Tm 0.000 0.235 0.250
Tm2 Tm 0.000 0.500 0.250
Os1 Os 0.218 0.365 0.000
# calculated total energy = -6.9116 eV per atom
# energy of formation from the pure elements = -0.172 eV per atom


# CaMn3Re | the Alexandria database | PBE | relaxed
data_CaMn3Re
_symmetry_space_group_name_H-M 'P m -3 m'
_symmetry_Int_Tables_number 221
_symmetry_space_group_name_Hall '-P 4 2 3'
_cell_length_a 4.742
_cell_length_b 4.742
_cell_length_c 4.742
_cell_angle_alpha 90.00
_cell_angle_beta 90.00
_cell_angle_gamma 90.00
loop_
_atom_site_label
_atom_site_type_symbol
_atom_site_fract_x
_atom_site_fract_y
_atom_site_fract_z
Ca1 Ca 0.000 0.000 0.000
Mn1 Mn 0.000 0.500 0.500
Re1 Re 0.500 0.500 0.500
# calculated total energy = -7.5731 eV per atom
# energy of formation from the pure elements = 0.819 eV per atom
# ΔE to the lowest computed polymorph = 0.0 meV per atom


Please write out number 3 again, unchanged.
# CaMn3Re | the Alexandria database | PBE | relaxed
data_CaMn3Re
_symmetry_space_group_name_H-M 'P m -3 m'
_symmetry_Int_Tables_number 221
_symmetry_space_group_name_Hall '-P 4 2 3'
_cell_length_a 4.742
_cell_length_b 4.742
_cell_length_c 4.742
_cell_angle_alpha 90.00
_cell_angle_beta 90.00
_cell_angle_gamma 90.00
loop_
_atom_site_label
_atom_site_type_symbol
_atom_site_fract_x
_atom_site_fract_y
_atom_site_fract_z
Ca1 Ca 0.000 0.000 0.000
Mn1 Mn 0.000 0.500 0.500
Re1 Re 0.500 0.500 0.500
# calculated total energy = -7.5731 eV per atom
# energy of formation from the pure elements = 0.819 eV per atom
# ΔE to the lowest computed polymorph = 0.0 meV per atom


Repeat the second record exactly.
# ErTm3Os2 | the Alexandria database | PBE | relaxed
data_ErTm3Os2
_symmetry_space_group_name_H-M 'I b a m'
_symmetry_Int_Tables_number 72
_symmetry_space_group_name_Hall '-I 2 2c'
_cell_length_a 6.669
_cell_length_b 13.406
_cell_length_c 6.913
_cell_angle_alpha 90.00
_cell_angle_beta 90.00
_cell_angle_gamma 90.00
loop_
_atom_site_label
_atom_site_type_symbol
_atom_site_fract_x
_atom_site_fract_y
_atom_site_fract_z
Er1 Er 0.000 0.000 0.000
Tm1 Tm 0.000 0.235 0.250
Tm2 Tm 0.000 0.500 0.250
Os1 Os 0.218 0.365 0.000
# calculated total energy = -6.9116 eV per atom
# energy of formation from the pure elements = -0.172 eV per atom


- The lowest calculated total energy belongs to which entry?
  AlFe2W


- energy of formation from the pure elements of number 1 (AlFe2W)?
  -0.020 eV per atom